[1]
! ScTeP3 | Alexandria via LeMat-Bulk | PBE | relaxed; values from VASP
&SYSTEM
  ibrav = 0, nat = 5, ntyp = 3
/
ATOMIC_SPECIES
P 30.97 P.upf
Sc 44.96 Sc.upf
Te 127.60 Te.upf
CELL_PARAMETERS angstrom
-4.842 0.444 -0.939
0.873 -0.690 -4.825
-0.564 -4.884 0.597
ATOMIC_POSITIONS crystal
P 0.500 0.000 0.000
P 0.000 0.000 0.500
P 0.000 0.500 0.000
Sc 0.000 0.000 0.000
Te 0.500 0.500 0.500
! Crystal system = cubic
! D(E_F) = 1.088 states/eV per atom
! Uncorrected formation energy = 538 meV/atom
! V = 121.4 Å³/f.u.

[2]
! LaMg2N2 | Alexandria via LeMat-Bulk | PBE | relaxed; values from VASP
&SYSTEM
  ibrav = 0, nat = 10, ntyp = 3
/
ATOMIC_SPECIES
La 138.91 La.upf
N 14.01 N.upf
Mg 24.30 Mg.upf
CELL_PARAMETERS angstrom
-0.436 -2.186 -6.378
-3.104 -5.608 2.134
-2.950 1.512 -0.317
ATOMIC_POSITIONS crystal
La 0.000 0.000 0.000
La 0.500 0.500 0.000
N 0.828 0.672 0.000
N 0.172 0.328 0.000
N 0.672 0.172 0.000
N 0.328 0.828 0.000
Mg 0.642 0.858 0.500
Mg 0.142 0.642 0.500
Mg 0.858 0.358 0.500
Mg 0.358 0.142 0.500
! Crystal system = tetragonal
! D(E_F) = 0.244 states/eV per atom
! Uncorrected formation energy = -81 meV/atom
! V = 76.0 Å³/f.u.

[3]
! In2NiCl | Alexandria via LeMat-Bulk | PBE | relaxed; values from VASP
&SYSTEM
  ibrav = 0, nat = 4, ntyp = 3
/
ATOMIC_SPECIES
In 114.82 In.upf
Cl 35.45 Cl.upf
Ni 58.69 Ni.upf
CELL_PARAMETERS angstrom
3.046 0.000 0.000
0.000 5.162 0.000
0.000 0.000 5.162
ATOMIC_POSITIONS crystal
In 0.000 0.500 0.500
In 0.000 0.000 0.000
Cl 0.500 0.000 0.500
Ni 0.500 0.500 0.000
! Crystal system = tetragonal
! D(E_F) = 0.206 states/eV per atom
! Uncorrected formation energy = -84 meV/atom
! V = 81.2 Å³/f.u.

[4]
! P3RhS | Alexandria via LeMat-Bulk | PBE | relaxed; values from VASP
&SYSTEM
  ibrav = 0, nat = 5, ntyp = 3
/
ATOMIC_SPECIES
P 30.97 P.upf
Rh 102.91 Rh.upf
S 32.06 S.upf
CELL_PARAMETERS angstrom
-4.278 -1.647 -0.156
1.622 -4.260 0.506
-0.327 0.417 4.556
ATOMIC_POSITIONS crystal
P 0.500 0.000 0.000
P 0.000 0.500 0.000
P 0.000 0.000 0.500
Rh 0.000 0.000 0.000
S 0.500 0.500 0.500
! Crystal system = cubic
! D(E_F) = 1.369 states/eV per atom
! Uncorrected formation energy = 836 meV/atom
! V = 96.5 Å³/f.u.

[5]
! LiYbAu2 | Alexandria via LeMat-Bulk | PBE | relaxed; values from VASP
&SYSTEM
  ibrav = 0, nat = 4, ntyp = 3
/
ATOMIC_SPECIES
Au 196.97 Au.upf
Li 6.94 Li.upf
Yb 173.04 Yb.upf
CELL_PARAMETERS angstrom
4.849 0.000 0.000
2.424 4.199 0.000
2.424 1.400 3.959
ATOMIC_POSITIONS crystal
Au 0.000 0.000 0.000
Au 0.500 0.500 0.500
Li 0.250 0.250 0.250
Yb 0.750 0.750 0.750
! Crystal system = cubic
! Energy relative to the elements = -0.738 eV/atom
! D(E_F) = 0.326 states/eV per atom
! V = 80.6 Å³/f.u.

[6]
! CdTcOs2 | Alexandria via LeMat-Bulk | PBE | relaxed; values from VASP
&SYSTEM
  ibrav = 0, nat = 4, ntyp = 3
/
ATOMIC_SPECIES
Os 190.23 Os.upf
Cd 112.41 Cd.upf
Tc 98.00 Tc.upf
CELL_PARAMETERS angstrom
-3.784 -3.116 -0.002
1.486 -4.589 0.876
0.810 4.262 2.282
ATOMIC_POSITIONS crystal
Os 0.000 0.000 0.000
Os 0.500 0.500 0.000
Cd 0.750 0.250 0.500
Tc 0.250 0.750 0.500
! Crystal system = tetragonal
! Energy relative to the elements = 0.628 eV/atom
! D(E_F) = 1.272 states/eV per atom
! V = 62.1 Å³/f.u.